Computed, not measured: an optimized crystal structure of Y3PbO at the GGA-PBE level of DFT.

The uncorrected formation energy comes out at -618.1 kJ/mol of formula units. The density comes out at 6.780 g/cm³. The crystal system is monoclinic.

Cell and atoms, written as POSCAR:
```
Y3PbO
1.0
-23.563 -11.408 4.013
2.826 -4.861 2.776
8.474 5.541 1.075
O Y Pb
4 12 4
direct
0.473 0.244 0.346
0.027 0.744 0.154
0.973 0.256 0.846
0.527 0.756 0.654
0.698 0.094 0.049
0.907 0.634 0.073
0.637 0.572 0.733
0.407 0.866 0.573
0.302 0.906 0.951
0.093 0.366 0.927
0.137 0.928 0.233
0.802 0.594 0.451
0.593 0.134 0.427
0.363 0.428 0.267
0.198 0.406 0.549
0.863 0.072 0.767
0.473 0.656 0.052
0.527 0.344 0.948
0.027 0.156 0.448
0.973 0.844 0.552
```

---

Computed, not measured: an optimized crystal structure of Na2ZnAgCl5 at the GGA-PBE level of DFT.

The uncorrected formation energy comes out at -1085.5 kJ/mol of formula units. The density comes out at 2.867 g/cm³. The crystal system is orthorhombic.

Cell and atoms, written as POSCAR:
```
Na2ZnAgCl5
1.0
-2.485 -2.439 -1.598
8.392 -1.780 -5.737
3.392 -8.418 7.574
Cl Na Zn Ag
10 4 2 2
direct
0.696 0.392 0.182
0.957 0.913 0.538
0.043 0.087 0.038
0.341 0.683 0.357
0.304 0.608 0.682
0.339 0.677 0.005
0.661 0.323 0.505
0.659 0.317 0.857
0.476 0.952 0.790
0.524 0.048 0.290
0.168 0.336 0.672
0.126 0.252 0.329
0.832 0.664 0.172
0.874 0.748 0.829
0.449 0.898 0.427
0.551 0.102 0.927
0.208 0.416 0.024
0.792 0.584 0.524
```

---

Computed, not measured: an optimized crystal structure of NbGa3Bi at the GGA-PBE level of DFT.

The density comes out at 6.493 g/cm³. As for the formation enthalpy at 0 K: 0.507 eV/atom. The crystal system is cubic. The value obtained for the energy above the most stable polymorph in this dataset is 0.000 eV/atom.

Cell and atoms, written as POSCAR:
```
NbGa3Bi
1.0
5.075 0.000 0.000
0.000 5.075 0.000
0.000 0.000 5.075
Ga Nb Bi
3 1 1
direct
0.000 0.000 0.500
0.500 0.000 0.000
0.000 0.500 0.000
0.000 0.000 0.000
0.500 0.500 0.500
```

---

Computed, not measured: an optimized crystal structure of La2TbSmBi5 at the GGA-PBE level of DFT.

The density comes out at 7.520 g/cm³. As for the formation enthalpy at 0 K: -0.259 eV/atom. The crystal system is tetragonal.

Cell and atoms, written as POSCAR:
```
La2TbSmBi5
1.0
5.467 0.000 0.000
0.000 5.467 0.000
0.000 0.000 12.058
Tb La Bi Sm
1 2 5 1
direct
0.000 0.000 0.500
0.500 0.500 0.722
0.500 0.500 0.278
0.000 0.000 0.752
0.000 0.500 0.500
0.500 0.500 0.000
0.000 0.000 0.248
0.500 0.000 0.500
0.000 0.000 0.000
```

---

Computed, not measured: an optimized crystal structure of BaLaAg3 at the GGA-PBE level of DFT.

The density comes out at 5.234 g/cm³. As for the formation enthalpy at 0 K: 0.617 eV/atom. The crystal system is cubic. The value obtained for the energy above the most stable polymorph in this dataset is 0.865 eV/atom.

Cell and atoms, written as POSCAR:
```
BaLaAg3
1.0
-2.152 -5.314 -0.465
1.198 -0.970 5.542
-5.198 1.976 1.469
Ag Ba La
3 1 1
direct
0.500 0.000 0.000
0.000 0.500 0.000
0.000 0.000 0.500
0.000 0.000 0.000
0.500 0.500 0.500
```

---

Computed, not measured: an optimized crystal structure of TbTh2Zn at the GGA-PBE level of DFT.

The density comes out at 9.914 g/cm³. As for the formation enthalpy at 0 K: -0.013 eV/atom. The crystal system is tetragonal. The value obtained for the energy above the most stable polymorph in this dataset is 0.000 eV/atom.

Cell and atoms, written as POSCAR:
```
TbTh2Zn
1.0
-1.581 3.127 0.783
-2.093 -1.659 2.400
6.108 1.496 6.359
Th Zn Tb
2 1 1
direct
0.000 0.000 0.787
0.000 0.000 0.213
0.500 0.500 0.000
0.500 0.500 0.500
```

---

Computed, not measured: an optimized crystal structure of Y6ErTm12 at the GGA-PBE level of DFT.

The density comes out at 7.483 g/cm³. As for the formation enthalpy at 0 K: 0.188 eV/atom. The crystal system is trigonal. The value obtained for the energy above the most stable polymorph in this dataset is 0.000 eV/atom.

Cell and atoms, written as POSCAR:
```
Y6ErTm12
1.0
8.440 0.438 0.525
-0.846 8.409 0.525
-0.846 -0.986 8.367
Tm Y Er
12 6 1
direct
0.623 0.933 0.861
0.470 0.789 0.528
0.528 0.470 0.789
0.377 0.067 0.139
0.530 0.211 0.472
0.139 0.377 0.067
0.211 0.472 0.530
0.067 0.139 0.377
0.472 0.530 0.211
0.933 0.861 0.623
0.861 0.623 0.933
0.789 0.528 0.470
0.724 0.873 0.258
0.873 0.258 0.724
0.127 0.742 0.276
0.276 0.127 0.742
0.258 0.724 0.873
0.742 0.276 0.127
0.000 0.000 0.000
```

---

Computed, not measured: an optimized crystal structure of TmP2Ru3 at the GGA-PBE level of DFT.

The density comes out at 9.637 g/cm³. As for the formation enthalpy at 0 K: -0.790 eV/atom. The crystal system is monoclinic.

Cell and atoms, written as POSCAR:
```
TmP2Ru3
1.0
-0.450 -1.569 -3.548
7.971 0.167 1.065
-3.294 -8.027 3.968
Ru P Tm
9 6 3
direct
0.378 0.756 0.801
0.217 0.435 0.391
0.038 0.077 0.327
0.622 0.244 0.199
0.680 0.361 0.961
0.500 0.000 0.500
0.783 0.565 0.609
0.320 0.639 0.039
0.962 0.923 0.673
0.540 0.080 0.781
0.804 0.607 0.867
0.196 0.393 0.133
0.639 0.278 0.451
0.361 0.722 0.549
0.460 0.920 0.219
0.000 0.000 0.000
0.841 0.683 0.304
0.159 0.317 0.696
```

---

Computed, not measured: an optimized crystal structure of PmY5Ge4 at the GGA-PBE level of DFT.

The density comes out at 5.031 g/cm³. As for the formation enthalpy at 0 K: -0.632 eV/atom. The crystal system is monoclinic.

Cell and atoms, written as POSCAR:
```
PmY5Ge4
1.0
4.368 0.000 0.000
0.000 7.689 -1.297
-2.184 -2.437 9.061
Ge Y Pm
4 5 1
direct
0.000 0.740 0.000
0.000 0.260 0.000
0.303 0.803 0.606
0.697 0.197 0.394
0.166 0.405 0.331
0.165 0.925 0.331
0.500 0.500 0.000
0.835 0.075 0.669
0.834 0.595 0.669
0.500 0.000 0.000
```

---

Computed, not measured: an optimized crystal structure of SbHF3 at the GGA-PBE level of DFT.

The density comes out at 3.245 g/cm³. The crystal system is monoclinic. The value obtained for the energy above the most stable polymorph in this dataset is 0.323 eV/atom.

Cell and atoms, written as POSCAR:
```
SbHF3
1.0
-6.687 -1.567 2.936
-3.470 -0.491 -8.164
2.742 -5.193 3.474
F Sb H
12 4 4
direct
0.430 0.366 0.792
0.569 0.134 0.208
0.750 0.303 0.004
0.931 0.634 0.208
0.250 0.197 0.996
0.070 0.866 0.792
0.069 0.366 0.792
0.250 0.697 0.996
0.750 0.803 0.004
0.570 0.634 0.208
0.930 0.134 0.208
0.431 0.866 0.792
0.750 0.501 0.946
0.750 0.001 0.946
0.250 0.499 0.054
0.250 0.999 0.054
0.743 0.012 0.506
0.257 0.988 0.494
0.243 0.488 0.494
0.757 0.512 0.506
```

---

Computed, not measured: an optimized crystal structure of ScBiI2O at the GGA-PBE level of DFT.

The uncorrected formation energy comes out at -57.2 kJ/mol of formula units. The density comes out at 5.075 g/cm³. The crystal system is tetragonal. The value obtained for the energy above the most stable polymorph in this dataset is 0.960 eV/atom.

Cell and atoms, written as POSCAR:
```
ScBiI2O
1.0
6.316 0.000 0.000
0.000 6.316 0.000
0.000 0.000 4.295
I O Bi Sc
2 1 1 1
direct
0.500 0.000 0.000
0.000 0.500 0.000
0.000 0.000 0.500
0.000 0.000 0.000
0.500 0.500 0.500
```

---

Computed, not measured: an optimized crystal structure of CaHgTe3 at the GGA-PBE level of DFT.

The uncorrected formation energy comes out at -39.3 kJ/mol of formula units. The density comes out at 5.747 g/cm³. The crystal system is cubic. The value obtained for the energy above the most stable polymorph in this dataset is 0.000 eV/atom.

Cell and atoms, written as POSCAR:
```
CaHgTe3
1.0
5.648 0.000 0.000
0.000 5.648 0.000
0.000 0.000 5.648
Te Ca Hg
3 1 1
direct
0.000 0.000 0.500
0.500 0.000 0.000
0.000 0.500 0.000
0.500 0.500 0.500
0.000 0.000 0.000
```